First-principles (PBE) data for crystalline Fe3AgS at its relaxed geometry, as listed in Alexandria.

Calculated values
**ΔE to the lowest computed polymorph**: 6.68 eV/f.u.
**Spin magnetization**: 1.933 μB per atom
**Space group**: No. 221
**Total DFT energy (no corrections)**: -4.89 eV/atom
**Formation energy without anion corrections**: 1.58 eV per atom

Unit cell a=4.718 b=4.718 c=4.718 alpha=90.00 beta=90.00 gamma=90.00
Sites, in units of the cell vectors:
Fe1 0.000 0.000 0.500
Fe2 0.000 0.500 0.000
Fe3 0.500 0.000 0.000
Ag1 0.000 0.000 0.000
S1 0.500 0.500 0.500